(1)
# TcAg4Se (meta-GGA SCAN, PBEsol geometry)
data_TcAg4Se
_chemical_formula_sum 'Tc4 Ag16 Se4'
_symmetry_space_group_name_H-M 'F -4 3 m'
_symmetry_Int_Tables_number 216
_symmetry_space_group_name_Hall 'F -4 2 3'
_cell_length_a 7.541
_cell_length_b 7.541
_cell_length_c 7.541
_cell_angle_alpha 90.00
_cell_angle_beta 90.00
_cell_angle_gamma 90.00
loop_
_atom_site_label
_atom_site_fract_x
_atom_site_fract_y
_atom_site_fract_z
Tc1 0.000 0.000 0.000
Ag1 0.125 0.125 0.375
Se1 0.250 0.250 0.750
# - Raw formation energy: 3.74 eV per formula unit
# - Total magnetic moment: 3.66 μB/f.u.
# - DFT total energy: -707.5 eV/cell
# - DOS(E_F): 0.80 states/eV/atom

=====

(2)
# TaCr3N (meta-GGA SCAN, PBEsol geometry)
data_TaCr3N
_chemical_formula_sum 'Ta1 Cr3 N1'
_symmetry_space_group_name_H-M 'P m -3 m'
_symmetry_Int_Tables_number 221
_symmetry_space_group_name_Hall '-P 4 2 3'
_cell_length_a 4.661
_cell_length_b 4.661
_cell_length_c 4.661
_cell_angle_alpha 90.00
_cell_angle_beta 90.00
_cell_angle_gamma 90.00
loop_
_atom_site_label
_atom_site_fract_x
_atom_site_fract_y
_atom_site_fract_z
Ta1 0.000 0.000 0.000
Cr1 0.000 0.000 0.500
N1 0.500 0.500 0.500
# - Raw formation energy: 12.01 eV per formula unit
# - Total magnetic moment: 8.57 μB/f.u.
# - DFT total energy: -119.0 eV/cell
# - DOS(E_F): 0.52 states/eV/atom

=====

(3)
# YTaW2 (meta-GGA SCAN, PBEsol geometry)
data_YTaW2
_chemical_formula_sum 'Y3 Ta3 W6'
_symmetry_space_group_name_H-M 'R -3 m'
_symmetry_Int_Tables_number 166
_symmetry_space_group_name_Hall '-R 3 2"'
_cell_length_a 2.8571
_cell_length_b 2.8571
_cell_length_c 31.0864
_cell_angle_alpha 90.00
_cell_angle_beta 90.00
_cell_angle_gamma 120.00
loop_
_atom_site_label
_atom_site_fract_x
_atom_site_fract_y
_atom_site_fract_z
Y1 0.0000 0.0000 0.0000
Ta1 0.0000 0.0000 0.5000
W1 0.0000 0.0000 0.2457
# - Energy of formation: 0.753 eV per atom
# - Energy relative to the lowest polymorph listed for this composition: 0.2182 eV per atom
# - Total magnetic moment: 0.00 μB/f.u.
# - DFT total energy: -692.4 eV/cell
# - DOS(E_F): 1.00 states/eV/atom

=====

(4)
# ZrAlCu2 (meta-GGA SCAN, PBEsol geometry)
data_ZrAlCu2
_chemical_formula_sum 'Zr4 Al4 Cu8'
_symmetry_space_group_name_H-M 'P n m a'
_symmetry_Int_Tables_number 62
_cell_length_a 6.958
_cell_length_b 4.402
_cell_length_c 7.775
_cell_angle_alpha 90.00
_cell_angle_beta 90.00
_cell_angle_gamma 90.00
loop_
_symmetry_equiv_pos_as_xyz
'x,y,z'
'-x,-y,-z'
'-x+1/2,-y,z+1/2'
'x+1/2,y,-z+1/2'
'x+1/2,-y+1/2,-z+1/2'
'-x+1/2,y+1/2,z+1/2'
'-x,y+1/2,-z'
'x,-y+1/2,z'
loop_
_atom_site_label
_atom_site_fract_x
_atom_site_fract_y
_atom_site_fract_z
Zr1 0.133 0.250 0.197
Al1 0.128 0.250 0.817
Cu1 0.059 0.750 0.457
Cu2 0.205 0.750 0.007
# - Energy of formation: -0.345 eV per atom
# - Total magnetic moment: 0.00 μB/f.u.
# - DFT total energy: -280.9 eV/cell
# - DOS(E_F): 0.62 states/eV/atom

=====

(5)
# ZrMn2In (meta-GGA SCAN, PBEsol geometry)
data_ZrMn2In
_chemical_formula_sum 'Zr2 Mn4 In2'
_symmetry_space_group_name_H-M 'I m m 2'
_symmetry_Int_Tables_number 44
_cell_length_a 3.873
_cell_length_b 3.931
_cell_length_c 8.673
_cell_angle_alpha 90.00
_cell_angle_beta 90.00
_cell_angle_gamma 90.00
loop_
_symmetry_equiv_pos_as_xyz
'x,y,z'
'-x,-y,z'
'-x,y,z'
'x,-y,z'
'x+1/2,y+1/2,z+1/2'
'-x+1/2,-y+1/2,z+1/2'
'-x+1/2,y+1/2,z+1/2'
'x+1/2,-y+1/2,z+1/2'
loop_
_atom_site_label
_atom_site_fract_x
_atom_site_fract_y
_atom_site_fract_z
Zr1 0.000 0.000 0.000
Mn1 0.000 0.000 0.502
Mn2 0.000 0.500 0.249
In1 0.000 0.500 0.751
# - Energy of formation: -0.159 eV per atom
# - Total magnetic moment: 5.59 μB/f.u.
# - DFT total energy: -202.5 eV/cell
# - DOS(E_F): 0.59 states/eV/atom

=====

(6)
# Tm2Ga3Cu (meta-GGA SCAN, PBEsol geometry)
data_Tm2Ga3Cu
_chemical_formula_sum 'Tm2 Ga3 Cu1'
_symmetry_space_group_name_H-M 'P 3 m 1'
_symmetry_Int_Tables_number 156
_cell_length_a 4.2812
_cell_length_b 4.2812
_cell_length_c 6.9544
_cell_angle_alpha 90.00
_cell_angle_beta 90.00
_cell_angle_gamma 120.00
loop_
_symmetry_equiv_pos_as_xyz
'x,y,z'
'-y,x-y,z'
'-x+y,-x,z'
'-y,-x,z'
'-x+y,y,z'
'x,x-y,z'
loop_
_atom_site_label
_atom_site_fract_x
_atom_site_fract_y
_atom_site_fract_z
Tm1 0.0000 0.0000 0.0000
Tm2 0.0000 0.0000 0.4711
Ga1 0.3333 0.6667 0.7827
Ga2 0.6667 0.3333 0.2532
Ga3 0.6667 0.3333 0.6885
Cu1 0.3333 0.6667 0.1956
# - Energy of formation: -0.702 eV per atom
# - Total magnetic moment: 0.00 μB/f.u.
# - DFT total energy: -172.1 eV/cell
# - DOS(E_F): 0.19 states/eV/atom

=====

(7)
# NaLi2Pt (meta-GGA SCAN, PBEsol geometry)
data_NaLi2Pt
_chemical_formula_sum 'Na4 Li8 Pt4'
_symmetry_space_group_name_H-M 'F m -3 m'
_symmetry_Int_Tables_number 225
_symmetry_space_group_name_Hall '-F 4 2 3'
_cell_length_a 6.313
_cell_length_b 6.313
_cell_length_c 6.313
_cell_angle_alpha 90.00
_cell_angle_beta 90.00
_cell_angle_gamma 90.00
loop_
_atom_site_label
_atom_site_fract_x
_atom_site_fract_y
_atom_site_fract_z
Na1 0.000 0.000 0.000
Li1 0.250 0.250 0.250
Pt1 0.000 0.000 0.500
# - Energy of formation: -0.349 eV per atom
# - Total magnetic moment: 0.00 μB/f.u.
# - DFT total energy: -322.3 eV/cell
# - DOS(E_F): 0.48 states/eV/atom

=====

(8)
# KLa2Si (meta-GGA SCAN, PBEsol geometry)
data_KLa2Si
_chemical_formula_sum 'K1 La2 Si1'
_symmetry_space_group_name_H-M 'P 4 m m'
_symmetry_Int_Tables_number 99
_cell_length_a 4.007
_cell_length_b 4.007
_cell_length_c 8.564
_cell_angle_alpha 90.00
_cell_angle_beta 90.00
_cell_angle_gamma 90.00
loop_
_symmetry_equiv_pos_as_xyz
'x,y,z'
'-y,x,z'
'-x,-y,z'
'y,-x,z'
'-x,y,z'
'y,x,z'
'x,-y,z'
'-y,-x,z'
loop_
_atom_site_label
_atom_site_fract_x
_atom_site_fract_y
_atom_site_fract_z
K1 0.000 0.000 0.000
La1 0.000 0.000 0.593
La2 0.500 0.500 0.393
Si1 0.500 0.500 0.730
# - Raw formation energy: -0.22 eV per formula unit
# - Total magnetic moment: 0.00 μB/f.u.
# - DFT total energy: -104.8 eV/cell
# - DOS(E_F): 0.69 states/eV/atom

=====

(9)
# Nd2Sn2Ru (meta-GGA SCAN, PBEsol geometry)
data_Nd2Sn2Ru
_chemical_formula_sum 'Nd8 Sn8 Ru4'
_symmetry_space_group_name_H-M 'C 1 2/m 1'
_symmetry_Int_Tables_number 12
_cell_length_a 11.210
_cell_length_b 4.446
_cell_length_c 11.094
_cell_angle_alpha 90.00
_cell_angle_beta 115.42
_cell_angle_gamma 90.00
loop_
_symmetry_equiv_pos_as_xyz
'x,y,z'
'-x,-y,-z'
'-x,y,-z'
'x,-y,z'
'x+1/2,y+1/2,z'
'-x+1/2,-y+1/2,-z'
'-x+1/2,y+1/2,-z'
'x+1/2,-y+1/2,z'
loop_
_atom_site_label
_atom_site_fract_x
_atom_site_fract_y
_atom_site_fract_z
Nd1 0.004 0.000 0.170
Nd2 0.189 0.000 0.626
Sn1 0.025 0.500 0.382
Sn2 0.161 0.500 0.051
Ru1 0.219 0.500 0.829
# - Energy of formation: -0.709 eV per atom
# - Total magnetic moment: 0.00 μB/f.u.
# - DFT total energy: -789.5 eV/cell
# - DOS(E_F): 0.73 states/eV/atom

=====

(10)
# LaAlBr2 (meta-GGA SCAN, PBEsol geometry)
data_LaAlBr2
_chemical_formula_sum 'La2 Al2 Br4'
_symmetry_space_group_name_H-M 'C m m 2'
_symmetry_Int_Tables_number 35
_cell_length_a 5.158
_cell_length_b 5.522
_cell_length_c 7.618
_cell_angle_alpha 90.00
_cell_angle_beta 90.00
_cell_angle_gamma 90.00
loop_
_symmetry_equiv_pos_as_xyz
'x,y,z'
'-x,-y,z'
'-x,y,z'
'x,-y,z'
'x+1/2,y+1/2,z'
'-x+1/2,-y+1/2,z'
'-x+1/2,y+1/2,z'
'x+1/2,-y+1/2,z'
loop_
_atom_site_label
_atom_site_fract_x
_atom_site_fract_y
_atom_site_fract_z
La1 0.000 0.000 0.000
Al1 0.000 0.500 0.239
Br1 0.000 0.000 0.418
Br2 0.000 0.500 0.786
# - Raw formation energy: -3.78 eV per formula unit
# - Energy relative to the lowest polymorph listed for this composition: 0.0000 eV per atom
# - Total magnetic moment: 0.00 μB/f.u.
# - DFT total energy: -187.1 eV/cell
# - DOS(E_F): 0.62 states/eV/atom

=====

(11)
# Li3CuPCO7 (meta-GGA SCAN, PBEsol geometry)
data_Li3CuPCO7
_chemical_formula_sum 'Li6 Cu2 P2 C2 O14'
_symmetry_space_group_name_H-M 'P 1 21/m 1'
_symmetry_Int_Tables_number 11
_cell_length_a 5.089
_cell_length_b 6.098
_cell_length_c 8.493
_cell_angle_alpha 90.00
_cell_angle_beta 103.36
_cell_angle_gamma 90.00
loop_
_symmetry_equiv_pos_as_xyz
'x,y,z'
'-x,-y,-z'
'-x,y+1/2,-z'
'x,-y+1/2,z'
loop_
_atom_site_label
_atom_site_fract_x
_atom_site_fract_y
_atom_site_fract_z
Li1 0.162 0.250 0.080
Li2 0.238 0.505 0.715
Cu1 0.251 0.750 0.313
P1 0.292 0.250 0.409
C1 0.414 0.750 0.017
O1 0.173 0.055 0.295
O2 0.196 0.750 0.073
O3 0.199 0.250 0.567
O4 0.349 0.250 0.888
O5 0.390 0.750 0.863
O6 0.393 0.750 0.553
# - Raw formation energy: -26.60 eV per formula unit
# - Energy relative to the lowest polymorph listed for this composition: 0.0047 eV per atom
# - Total magnetic moment: 1.00 μB/f.u.
# - DFT total energy: -226.2 eV/cell
# - DOS(E_F): 0.00 states/eV/atom

=====

(12)
# ScTlIr (meta-GGA SCAN, PBEsol geometry)
data_ScTlIr
_chemical_formula_sum 'Sc2 Tl2 Ir2'
_symmetry_space_group_name_H-M 'I 4 m m'
_symmetry_Int_Tables_number 107
_symmetry_space_group_name_Hall 'I 4 -2'
_cell_length_a 3.109
_cell_length_b 3.109
_cell_length_c 11.704
_cell_angle_alpha 90.00
_cell_angle_beta 90.00
_cell_angle_gamma 90.00
loop_
_atom_site_label
_atom_site_fract_x
_atom_site_fract_y
_atom_site_fract_z
Sc1 0.000 0.000 0.000
Tl1 0.000 0.000 0.700
Ir1 0.000 0.000 0.367
# - Energy of formation: -0.444 eV per atom
# - Total magnetic moment: 0.00 μB/f.u.
# - DFT total energy: -318.1 eV/cell
# - DOS(E_F): 0.37 states/eV/atom